The following is a DFT calculation (PBE-GGA) of SrCo3 after structural relaxation.

Calculated values
Total DFT energy (no corrections): -5.21 eV/atom
E_form: 0.54 eV/atom
D(E_F): 5.27 states/eV per cell
Total magnetization: 4.89 Bohr magnetons per cell

Unit cell a=2.9114 b=3.7397 c=6.4762 alpha=90.00 beta=100.42 gamma=90.00
Space group P2/m (No. 10)
Inequivalent atoms, fractional coordinates:
1 Sr 0.0000 0.0000 0.0000 (multiplicity 1)
2 Co 0.0000 0.0000 0.5000 (multiplicity 1)
3 Co 0.3960 0.5000 0.6585 (multiplicity 2)